# 1
Material: Sr2Re2I
Method: DFT, PBEsol
State: relaxed

Cell and atoms, written as extended XYZ:
```
5
Lattice="-1.835 1.835 9.798 1.835 -1.835 9.798 1.835 1.835 -9.798" Properties=species:S:1:pos:R:3 pbc="T T T"
Sr 0.000 0.000 2.360
Sr 0.000 0.000 17.236
Re 1.835 0.000 4.899
Re 0.000 1.835 4.899
I 0.000 0.000 9.798
```

Output
Fermi-level density of states in states/eV/atom: 0.279
Magnetic moment in μB per cell: 0.0
Formation energy (no corrections) in kcal/mol of atoms: 0.8

# 2
Material: SrReI3
Method: DFT, PBEsol
State: relaxed

Cell and atoms, written as extended XYZ:
```
5
Lattice="5.409 0.000 0.000 0.000 5.409 0.000 0.000 0.000 5.409" Properties=species:S:1:pos:R:3 pbc="T T T"
Sr 0.000 0.000 0.000
Re 2.704 2.704 2.704
I 0.000 2.704 2.704
I 2.704 0.000 2.704
I 2.704 2.704 0.000
```

Output
Fermi-level density of states in states/eV/atom: 0.975
Magnetic moment in μB per cell: 1.6
Formation energy (no corrections) in kcal/mol of atoms: 2.0

# 3
Material: Sr2ZnReI
Method: DFT, PBEsol
State: relaxed

Cell and atoms, written as extended XYZ:
```
5
Lattice="5.687 0.000 0.000 0.000 5.687 0.000 0.000 0.000 4.805" Properties=species:S:1:pos:R:3 pbc="T T T"
Sr 0.000 2.843 0.000
Sr 2.843 0.000 0.000
Zn 0.000 0.000 2.402
Re 0.000 0.000 0.000
I 2.843 2.843 2.402
```

Output
Fermi-level density of states in states/eV/atom: 0.621
Magnetic moment in μB per cell: 0.0
Formation energy (no corrections) in kcal/mol of atoms: 6.9

# 4
Material: ReTcTe2I
Method: DFT, PBEsol
State: relaxed

Cell and atoms, written as extended XYZ:
```
5
Lattice="5.096 0.000 0.000 0.000 5.096 0.000 0.000 0.000 5.556" Properties=species:S:1:pos:R:3 pbc="T T T"
Re 0.000 0.000 0.000
Tc 2.548 2.548 2.778
Te 0.000 2.548 0.000
Te 2.548 0.000 0.000
I 0.000 0.000 2.778
```

Output
Fermi-level density of states in states/eV/atom: 1.248
Magnetic moment in μB per cell: 4.1
Formation energy (no corrections) in kcal/mol of atoms: 35.9

# 5
Material: ZrRe2TcI
Method: DFT, PBEsol
State: relaxed

Cell and atoms, written as extended XYZ:
```
5
Lattice="4.688 0.000 0.000 0.000 4.688 0.000 0.000 0.000 4.968" Properties=species:S:1:pos:R:3 pbc="T T T"
Zr 0.000 0.000 0.000
Re 0.000 2.344 2.484
Re 2.344 0.000 2.484
Tc 0.000 0.000 2.484
I 2.344 2.344 0.000
```

Output
Fermi-level density of states in states/eV/atom: 1.351
Magnetic moment in μB per cell: 0.6
Formation energy (no corrections) in kcal/mol of atoms: 37.0

# 6
Material: Re3Te7I7
Method: DFT, PBEsol
State: relaxed

Cell and atoms, written as extended XYZ:
```
34
Lattice="10.578 0.000 0.000 4.750 9.498 0.000 0.480 3.278 11.553" Properties=species:S:1:pos:R:3 pbc="T T T"
Re 2.152 4.952 4.620
Re 4.187 6.701 4.756
Re 3.574 5.175 6.892
Re 12.233 7.601 4.662
Re 11.620 6.076 6.798
Re 13.656 7.825 6.933
Te 2.472 6.310 9.072
Te 1.501 2.798 3.191
Te 1.532 3.434 6.765
Te 5.620 6.925 7.043
Te 6.415 7.290 3.428
Te 4.685 4.058 4.679
Te 5.058 3.414 8.199
Te 10.749 9.363 3.355
Te 11.122 8.719 6.874
Te 9.392 5.486 8.125
Te 10.187 5.851 4.510
Te 14.275 9.343 4.789
Te 14.306 9.978 8.363
Te 13.335 6.466 2.481
I 5.553 9.013 1.375
I 5.339 9.049 10.475
I 3.576 2.388 1.371
I 7.577 9.777 5.192
I 8.012 11.328 9.652
I 6.745 5.092 1.649
I 6.227 4.799 10.331
I 9.580 7.977 1.223
I 9.062 7.684 9.905
I 7.795 1.448 1.901
I 8.230 3.000 6.361
I 12.231 10.389 10.182
I 10.468 3.728 1.078
I 10.254 3.764 10.178
```

Output
Magnetic moment in μB per cell: 0.0
Formation energy (no corrections) in kcal/mol of atoms: -3.0

# 7
Material: ReWI3
Method: DFT, PBEsol
State: relaxed

Cell and atoms, written as extended XYZ:
```
5
Lattice="5.416 0.000 0.000 0.000 5.416 0.000 0.000 0.000 5.416" Properties=species:S:1:pos:R:3 pbc="T T T"
Re 0.000 0.000 0.000
W 2.708 2.708 2.708
I 0.000 2.708 2.708
I 2.708 0.000 2.708
I 2.708 2.708 0.000
```

Output
Fermi-level density of states in states/eV/atom: 0.784
Magnetic moment in μB per cell: 2.8
Formation energy (no corrections) in kcal/mol of atoms: 43.7

# 8
Material: ReWI2
Method: DFT, PBEsol
State: relaxed

Cell and atoms, written as extended XYZ:
```
4
Lattice="0.000 3.322 3.322 3.322 0.000 3.322 3.322 3.322 0.000" Properties=species:S:1:pos:R:3 pbc="T T T"
Re 0.000 0.000 0.000
W 3.322 3.322 3.322
I 1.661 1.661 1.661
I 4.984 4.984 4.984
```

Output
Fermi-level density of states in states/eV/atom: 1.016
Magnetic moment in μB per cell: 0.0
Formation energy (no corrections) in kcal/mol of atoms: 35.8

# 9
Material: Re3WI
Method: DFT, PBEsol
State: relaxed

Cell and atoms, written as extended XYZ:
```
5
Lattice="4.673 0.000 0.000 0.000 4.673 0.000 0.000 0.000 4.673" Properties=species:S:1:pos:R:3 pbc="T T T"
Re 0.000 0.000 2.336
Re 0.000 2.336 0.000
Re 2.336 0.000 0.000
W 2.336 2.336 2.336
I 0.000 0.000 0.000
```

Output
Fermi-level density of states in states/eV/atom: 1.134
Magnetic moment in μB per cell: 0.0
Formation energy (no corrections) in kcal/mol of atoms: 76.6

# 10
Material: ZnRe3I
Method: DFT, PBEsol
State: relaxed

Cell and atoms, written as extended XYZ:
```
5
Lattice="4.758 0.000 0.000 0.000 4.758 0.000 0.000 0.000 4.758" Properties=species:S:1:pos:R:3 pbc="T T T"
Zn 0.000 0.000 0.000
Re 0.000 2.379 2.379
Re 2.379 0.000 2.379
Re 2.379 2.379 0.000
I 2.379 2.379 2.379
```

Output
Fermi-level density of states in states/eV/atom: 1.244
Magnetic moment in μB per cell: 1.7
Formation energy (no corrections) in kcal/mol of atoms: 68.7

# 11
Material: Zr3ReI
Method: DFT, PBEsol
State: relaxed

Cell and atoms, written as extended XYZ:
```
5
Lattice="5.071 0.000 0.000 0.000 5.071 0.000 0.000 0.000 5.071" Properties=species:S:1:pos:R:3 pbc="T T T"
Zr 0.000 0.000 2.536
Zr 0.000 2.536 0.000
Zr 2.536 0.000 0.000
Re 0.000 0.000 0.000
I 2.536 2.536 2.536
```

Output
Fermi-level density of states in states/eV/atom: 1.138
Magnetic moment in μB per cell: 0.0
Formation energy (no corrections) in kcal/mol of atoms: 11.5

# 12
Material: RuRhI2
Method: DFT, PBEsol
State: relaxed

Cell and atoms, written as extended XYZ:
```
4
Lattice="0.000 3.343 3.343 3.343 0.000 3.343 3.343 3.343 0.000" Properties=species:S:1:pos:R:3 pbc="T T T"
Ru 0.000 0.000 0.000
Rh 3.343 3.343 3.343
I 1.671 1.671 1.671
I 5.014 5.014 5.014
```

Output
Fermi-level density of states in states/eV/atom: 1.718
Magnetic moment in μB per cell: 0.0
Formation energy (no corrections) in kcal/mol of atoms: 18.5

# 13
Material: Sb2RhSI
Method: DFT, PBEsol
State: relaxed

Cell and atoms, written as extended XYZ:
```
5
Lattice="5.070 0.000 0.000 0.000 5.070 0.000 0.000 0.000 5.032" Properties=species:S:1:pos:R:3 pbc="T T T"
Sb 0.000 2.535 0.000
Sb 2.535 0.000 0.000
Rh 0.000 0.000 2.516
S 2.535 2.535 0.000
I 2.535 2.535 2.516
```

Output
Fermi-level density of states in states/eV/atom: 0.942
Excess energy over the best structure of this formula in the dataset in eV/atom: 0.569
Magnetic moment in μB per cell: 0.0
Formation energy (no corrections) in kcal/mol of atoms: 24.2

# 14
Material: Sb2RhSI
Method: DFT, PBEsol
State: relaxed

Cell and atoms, written as extended XYZ:
```
5
Lattice="5.041 0.000 0.000 0.000 5.041 0.000 0.000 0.000 5.238" Properties=species:S:1:pos:R:3 pbc="T T T"
Sb 0.000 2.520 0.000
Sb 2.520 0.000 0.000
Rh 0.000 0.000 0.000
S 2.520 2.520 2.619
I 0.000 0.000 2.619
```

Output
Fermi-level density of states in states/eV/atom: 0.952
Excess energy over the best structure of this formula in the dataset in eV/atom: 0.000
Magnetic moment in μB per cell: 0.0
Formation energy (no corrections) in kcal/mol of atoms: 11.1

# 15
Material: SbRh2I
Method: DFT, PBEsol
State: relaxed

Cell and atoms, written as extended XYZ:
```
4
Lattice="0.000 3.314 3.314 3.314 0.000 3.314 3.314 3.314 0.000" Properties=species:S:1:pos:R:3 pbc="T T T"
Sb 0.000 0.000 0.000
Rh 1.657 1.657 1.657
Rh 4.972 4.972 4.972
I 3.314 3.314 3.314
```

Output
Fermi-level density of states in states/eV/atom: 0.921
Magnetic moment in μB per cell: 0.0
Formation energy (no corrections) in kcal/mol of atoms: 5.1

# 16
Material: ScSb2RhI
Method: DFT, PBEsol
State: relaxed

Cell and atoms, written as extended XYZ:
```
5
Lattice="5.352 0.000 0.000 0.000 5.352 0.000 0.000 0.000 5.324" Properties=species:S:1:pos:R:3 pbc="T T T"
Sc 0.000 0.000 0.000
Sb 0.000 2.676 0.000
Sb 2.676 0.000 0.000
Rh 2.676 2.676 2.662
I 0.000 0.000 2.662
```

Output
Fermi-level density of states in states/eV/atom: 1.100
Magnetic moment in μB per cell: 0.6
Formation energy (no corrections) in kcal/mol of atoms: 18.3

# 17
Material: ScSbRhI2
Method: DFT, PBEsol
State: relaxed

Cell and atoms, written as extended XYZ:
```
5
Lattice="5.229 0.000 0.000 0.000 5.229 0.000 0.000 0.000 5.156" Properties=species:S:1:pos:R:3 pbc="T T T"
Sc 0.000 0.000 0.000
Sb 2.615 2.615 0.000
Rh 2.615 2.615 2.578
I 0.000 2.615 2.578
I 2.615 0.000 2.578
```

Output
Fermi-level density of states in states/eV/atom: 0.707
Magnetic moment in μB per cell: 0.0
Formation energy (no corrections) in kcal/mol of atoms: 3.6

# 18
Material: Sb2TeRhI
Method: DFT, PBEsol
State: relaxed

Cell and atoms, written as extended XYZ:
```
5
Lattice="5.602 0.000 0.000 0.000 5.602 0.000 0.000 0.000 5.672" Properties=species:S:1:pos:R:3 pbc="T T T"
Sb 0.000 2.801 0.000
Sb 2.801 0.000 0.000
Te 0.000 0.000 0.000
Rh 2.801 2.801 2.836
I 0.000 0.000 2.836
```

Output
Fermi-level density of states in states/eV/atom: 1.892
Magnetic moment in μB per cell: 1.0
Formation energy (no corrections) in kcal/mol of atoms: 34.7

# 19
Material: SbTeRhI2
Method: DFT, PBEsol
State: relaxed

Cell and atoms, written as extended XYZ:
```
5
Lattice="5.230 0.000 0.000 0.000 5.230 0.000 0.000 0.000 5.177" Properties=species:S:1:pos:R:3 pbc="T T T"
Sb 0.000 0.000 0.000
Te 2.615 2.615 0.000
Rh 2.615 2.615 2.589
I 0.000 2.615 2.589
I 2.615 0.000 2.589
```

Output
Fermi-level density of states in states/eV/atom: 0.839
Magnetic moment in μB per cell: 0.0
Formation energy (no corrections) in kcal/mol of atoms: 5.9

# 20
Material: Sb2RhWI
Method: DFT, PBEsol
State: relaxed

Cell and atoms, written as extended XYZ:
```
5
Lattice="4.977 0.000 0.000 0.000 4.977 0.000 0.000 0.000 5.250" Properties=species:S:1:pos:R:3 pbc="T T T"
Sb 0.000 2.488 0.000
Sb 2.488 0.000 0.000
Rh 0.000 0.000 0.000
W 2.488 2.488 2.625
I 0.000 0.000 2.625
```

Output
Fermi-level density of states in states/eV/atom: 0.801
Magnetic moment in μB per cell: 2.9
Formation energy (no corrections) in kcal/mol of atoms: 31.3